No. 1
A plane-wave DFT calculation with PBE+U was carried out for a relaxed NiPtF6 crystal.

POSCAR file:
```
NiPtF6
1.0
-5.305 -1.030 1.514
-1.308 -0.575 5.427
-2.997 3.969 2.599
Ni Pt F
1 1 6
direct
0.500 0.500 0.500
0.000 0.000 0.000
0.753 0.753 0.247
0.753 0.247 0.247
0.247 0.753 0.753
0.247 0.247 0.753
0.247 0.753 0.247
0.753 0.247 0.753
```

Properties
- polymorph energy (0 for the lowest one) (meV/atom) = 71
- uncorrected energy (eV/atom) = -4.063

No. 2
A plane-wave DFT calculation with PBE+U was carried out for a relaxed NiPtF3 crystal.

POSCAR file:
```
NiPtF3
1.0
4.008 0.000 0.000
0.000 4.008 0.000
0.000 0.000 4.008
Ni Pt F
1 1 3
direct
0.000 0.000 0.000
0.500 0.500 0.500
0.000 0.500 0.000
0.000 0.000 0.500
0.500 0.000 0.000
```

Properties
- polymorph energy (0 for the lowest one) (meV/atom) = 0
- uncorrected energy (eV/atom) = -3.711

No. 3
A plane-wave DFT calculation with PBE+U was carried out for a relaxed NiPtF6 crystal.

POSCAR file:
```
NiPtF6
1.0
4.954 0.000 0.000
-2.477 4.290 0.000
0.000 0.000 9.285
Ni Pt F
2 2 12
direct
0.333 0.667 0.250
0.667 0.333 0.750
0.000 0.000 0.500
0.000 0.000 0.000
0.323 0.328 0.377
0.677 0.672 0.623
0.005 0.677 0.377
0.323 0.995 0.123
0.995 0.323 0.623
0.677 0.005 0.877
0.672 0.995 0.377
0.005 0.328 0.123
0.328 0.005 0.623
0.995 0.672 0.877
0.672 0.677 0.123
0.328 0.323 0.877
```

Properties
- polymorph energy (0 for the lowest one) (meV/atom) = 13
- uncorrected energy (eV/atom) = -4.120

No. 4
A plane-wave DFT calculation with PBE+U was carried out for a relaxed NiPt2F crystal.

POSCAR file:
```
NiPt2F
1.0
2.824 1.187 2.916
0.717 4.109 0.701
-1.306 1.790 3.602
Ni Pt F
1 2 1
direct
0.500 0.500 0.500
0.250 0.250 0.250
0.750 0.750 0.750
0.000 0.000 0.000
```

Properties
- polymorph energy (0 for the lowest one) (meV/atom) = 0
- uncorrected energy (eV/atom) = -3.864

No. 5
A plane-wave DFT calculation with PBE+U was carried out for a relaxed Ni2PtF8 crystal.

POSCAR file:
```
Ni2PtF8
1.0
-1.442 0.596 -3.907
2.567 -4.847 -1.915
-3.799 -4.367 0.507
Ni Pt F
2 1 8
direct
0.228 0.617 0.617
0.772 0.383 0.383
0.000 0.000 0.000
0.230 0.902 0.308
0.230 0.308 0.902
0.770 0.098 0.692
0.263 0.404 0.404
0.770 0.692 0.098
0.278 0.826 0.826
0.722 0.174 0.174
0.737 0.596 0.596
```

Properties
- uncorrected energy (eV/atom) = -4.107

No. 6
A plane-wave DFT calculation with PBE+U was carried out for a relaxed NiPt2F crystal.

POSCAR file:
```
NiPt2F
1.0
-3.800 2.915 4.657
-4.778 1.043 -4.551
-5.366 -0.371 0.645
Ni Pt F
2 4 2
direct
0.000 0.000 0.000
0.750 0.250 0.500
0.601 0.125 0.250
0.149 0.625 0.250
0.375 0.399 0.750
0.875 0.851 0.750
0.500 0.500 0.000
0.250 0.750 0.500
```

Properties
- polymorph energy (0 for the lowest one) (meV/atom) = 130
- uncorrected energy (eV/atom) = -3.734

No. 7
A plane-wave DFT calculation with PBE+U was carried out for a relaxed NiPt2F11 crystal.

POSCAR file:
```
NiPt2F11
1.0
2.842 -5.067 6.077
5.501 -5.794 -1.589
6.852 1.729 4.052
Ni Pt F
2 4 22
direct
0.750 0.750 0.750
0.250 0.250 0.250
0.688 0.640 0.360
0.312 0.360 0.640
0.812 0.140 0.860
0.188 0.860 0.140
0.682 0.668 0.598
0.318 0.332 0.402
0.051 0.598 0.668
0.818 0.902 0.832
0.949 0.402 0.332
0.182 0.098 0.168
0.449 0.832 0.902
0.551 0.168 0.098
0.500 0.500 0.500
0.000 0.000 0.000
0.839 0.786 0.214
0.161 0.214 0.786
0.661 0.286 0.714
0.339 0.714 0.286
0.444 0.878 0.400
0.556 0.122 0.600
0.279 0.400 0.878
0.056 0.100 0.622
0.721 0.600 0.122
0.944 0.900 0.378
0.221 0.622 0.100
0.779 0.378 0.900
```

Properties
- uncorrected energy (eV/atom) = -3.806

No. 8
A plane-wave DFT calculation with PBE+U was carried out for a relaxed NiPtF3 crystal.

POSCAR file:
```
NiPtF3
1.0
4.276 0.000 0.000
0.000 4.276 0.000
0.000 0.000 4.276
Ni Pt F
1 1 3
direct
0.500 0.500 0.500
0.000 0.000 0.000
0.000 0.500 0.000
0.000 0.000 0.500
0.500 0.000 0.000
```

Properties
- polymorph energy (0 for the lowest one) (meV/atom) = 701
- uncorrected energy (eV/atom) = -3.010

No. 9
A plane-wave DFT calculation with PBE+U was carried out for a relaxed NiPtF5 crystal.

POSCAR file:
```
NiPtF5
1.0
-3.207 -0.534 -4.349
0.157 -5.167 -0.260
-4.157 2.918 6.893
Ni Pt F
2 2 10
direct
0.500 0.000 0.000
0.500 0.000 0.500
0.869 0.755 0.283
0.131 0.245 0.717
0.842 0.767 0.049
0.255 0.655 0.365
0.496 0.908 0.229
0.845 0.787 0.522
0.155 0.213 0.478
0.721 0.325 0.190
0.279 0.675 0.810
0.504 0.092 0.771
0.745 0.345 0.635
0.158 0.233 0.951
```

Properties
- uncorrected energy (eV/atom) = -4.016

No. 10
A plane-wave DFT calculation with PBE+U was carried out for a relaxed Ni3PtF crystal.

POSCAR file:
```
Ni3PtF
1.0
-1.932 0.427 -4.347
2.091 -4.083 -1.330
-3.835 -2.441 1.464
Ni Pt F
3 1 1
direct
0.000 0.500 0.000
0.000 0.000 0.500
0.500 0.000 0.000
0.000 0.000 0.000
0.500 0.500 0.500
```

Properties
- polymorph energy (0 for the lowest one) (meV/atom) = 805
- uncorrected energy (eV/atom) = -2.209

No. 11
A plane-wave DFT calculation with PBE+U was carried out for a relaxed Rb2NiPtF6 crystal.

POSCAR file:
```
Rb2NiPtF6
1.0
6.045 0.000 0.000
0.000 6.045 0.000
3.022 3.022 4.285
Ni Rb Pt F
1 2 1 6
direct
0.500 0.500 0.000
0.750 0.250 0.500
0.250 0.750 0.500
0.000 0.000 0.000
0.263 0.263 0.474
0.737 0.737 0.526
0.262 0.262 0.000
0.738 0.738 0.000
0.738 0.262 0.000
0.262 0.738 0.000
```

Properties
- uncorrected energy (eV/atom) = -4.180

No. 12
A plane-wave DFT calculation with PBE+U was carried out for a relaxed RbNi2PtF crystal.

POSCAR file:
```
RbNi2PtF
1.0
-3.487 1.682 2.179
-0.743 -4.333 2.156
2.669 1.205 3.341
Ni Rb Pt F
2 1 1 1
direct
0.000 0.000 0.500
0.500 0.000 0.000
0.500 0.500 0.500
0.000 0.500 0.000
0.000 0.000 0.000
```

Properties
- uncorrected energy (eV/atom) = -2.373